SrCr4Co3O12 (PBE+U, optimized geometry); calculated density = 5.36 Mg/m³; space-group type = Im-3, No. 204; total DFT energy (no corrections) = -138.7 eV per cell; crystal system = cubic
1.0
6.443 0.000 0.000
-2.148 6.074 0.000
-2.148 -3.037 5.261
Co O Cr Sr
3 12 4 1
Direct
0.500 0.000 0.500 Co
0.000 0.500 0.500 Co
0.500 0.500 0.000 Co
0.175 0.489 0.315 O
0.315 0.175 0.489 O
0.175 0.860 0.685 O
0.860 0.685 0.175 O
0.315 0.825 0.140 O
0.685 0.175 0.860 O
0.685 0.825 0.511 O
0.825 0.140 0.315 O
0.140 0.315 0.825 O
0.825 0.511 0.685 O
0.511 0.685 0.825 O
0.489 0.315 0.175 O
0.500 0.000 0.000 Cr
0.000 0.500 0.000 Cr
0.500 0.500 0.500 Cr
0.000 0.000 0.500 Cr
0.000 0.000 0.000 Sr